## A
DFT (PBE) results for Ba2BeHg after structural relaxation.

Cell: 5.117 5.117 9.622 Å, 90.00 90.00 90.00°
Fractional positions:
1 Ba 0.000 0.000 0.000
2 Ba 0.000 0.500 0.250
3 Ba 0.500 0.000 0.750
4 Ba 0.500 0.500 0.500
5 Be 0.000 0.500 0.750
6 Be 0.500 0.000 0.250
7 Hg 0.000 0.000 0.500
8 Hg 0.500 0.500 0.000

V	126.0	Å³/f.u.
symmetry	I-4m2, No. 119

***

## B
DFT (PBE) results for Ba2BeHg after structural relaxation.

Cell: 4.056 4.056 9.047 Å, 90.00 90.00 90.00°
Fractional positions:
1 Ba 0.000 0.000 0.000
2 Ba 0.500 0.500 0.426
3 Be 0.000 0.000 0.634
4 Hg 0.500 0.500 0.787

V	148.9	Å³/f.u.
symmetry	P4mm, No. 99

***

## C
DFT (PBE) results for Ba2BeHg after structural relaxation.

Cell: 5.465 4.579 6.230 Å, 90.00 115.94 90.00°
Fractional positions:
1 Ba 0.000 0.000 0.000
2 Ba 0.305 0.500 0.610
3 Be 0.682 0.000 0.366
4 Hg 0.618 0.500 0.235

V	140.2	Å³/f.u.
symmetry	Pm, No. 6

***

The computed energies, referenced to the most stable structure and given in meV per atom, are A 266; B 224; C 0.

***

## A
DFT (PBE) results for Ba2BeHg after structural relaxation.

Cell: 4.034 5.838 10.899 Å, 90.00 90.00 90.00°
Fractional positions:
1 Ba 0.000 0.000 0.000
2 Ba 0.000 0.500 0.183
3 Ba 0.500 0.000 0.683
4 Ba 0.500 0.500 0.500
5 Be 0.000 0.500 0.772
6 Be 0.500 0.000 0.272
7 Hg 0.000 0.000 0.394
8 Hg 0.500 0.500 0.894

V	128.4	Å³/f.u.
symmetry	Imm2, No. 44

***

## B
DFT (PBE) results for Ba2BeHg after structural relaxation.

Cell: 8.897 8.897 8.222 Å, 90.00 90.00 90.00°
Fractional positions:
1 Ba 0.223 0.250 0.125
2 Ba 0.250 0.723 0.375
3 Ba 0.250 0.777 0.875
4 Ba 0.277 0.250 0.625
5 Ba 0.723 0.750 0.625
6 Ba 0.750 0.223 0.875
7 Ba 0.750 0.277 0.375
8 Ba 0.777 0.750 0.125
9 Be 0.000 0.000 0.000
10 Be 0.000 0.500 0.250
11 Be 0.500 0.000 0.750
12 Be 0.500 0.500 0.500
13 Hg 0.000 0.000 0.500
14 Hg 0.000 0.500 0.750
15 Hg 0.500 0.000 0.250
16 Hg 0.500 0.500 0.000

V	162.7	Å³/f.u.
symmetry	I-42d, No. 122

***

The computed energies, referenced to the most stable structure and given in meV per atom, are A 0; B 301.

***

## A
DFT (PBE) results for BaBeI3 after structural relaxation.

Cell: 5.509 5.509 5.509 Å, 90.00 90.00 90.00°
Fractional positions:
1 Ba 0.000 0.000 0.000
2 Be 0.500 0.500 0.500
3 I 0.000 0.500 0.500
4 I 0.500 0.000 0.500
5 I 0.500 0.500 0.000

V	167.2	Å³/f.u.
symmetry	Pm-3m, No. 221

***

## B
DFT (PBE) results for BaBeI3 after structural relaxation.

Cell: 6.785 6.785 6.785 Å, 90.00 90.00 90.00°
Fractional positions:
1 Ba 0.000 0.000 0.000
2 Be 0.500 0.500 0.500
3 I 0.000 0.000 0.500
4 I 0.000 0.500 0.000
5 I 0.500 0.000 0.000

V	312.3	Å³/f.u.
symmetry	Pm-3m, No. 221

***

The computed energies, referenced to the most stable structure and given in meV per atom, are A 0; B 565.

***

## A
DFT (PBE) results for BaBeIN2 after structural relaxation.

Cell: 5.287 5.287 7.039 Å, 90.00 90.00 90.00°
Fractional positions:
1 Ba 0.000 0.000 0.000
2 Be 0.500 0.500 0.500
3 I 0.000 0.000 0.500
4 N 0.000 0.500 0.000
5 N 0.500 0.000 0.000

V	196.8	Å³/f.u.
symmetry	P4/mmm, No. 123

***

## B
DFT (PBE) results for BaBeIN2 after structural relaxation.

Cell: 4.479 4.479 4.940 Å, 90.00 90.00 90.00°
Fractional positions:
1 Ba 0.000 0.000 0.000
2 Be 0.500 0.500 0.500
3 I 0.500 0.500 0.000
4 N 0.000 0.500 0.500
5 N 0.500 0.000 0.500

V	99.1	Å³/f.u.
symmetry	P4/mmm, No. 123

***

The computed energies, referenced to the most stable structure and given in meV per atom, are A 889; B 0.

***

## A
DFT (PBE) results for BaBeI2N after structural relaxation.

Cell: 6.025 6.025 3.574 Å, 90.00 90.00 90.00°
Fractional positions:
1 Ba 0.000 0.000 0.000
2 Be 0.500 0.500 0.500
3 I 0.000 0.500 0.500
4 I 0.500 0.000 0.500
5 N 0.500 0.500 0.000

V	129.7	Å³/f.u.
symmetry	P4/mmm, No. 123

***

## B
DFT (PBE) results for BaBeI2N after structural relaxation.

Cell: 6.799 6.799 5.422 Å, 90.00 90.00 90.00°
Fractional positions:
1 Ba 0.000 0.000 0.000
2 Be 0.500 0.500 0.500
3 I 0.000 0.500 0.000
4 I 0.500 0.000 0.000
5 N 0.000 0.000 0.500

V	250.7	Å³/f.u.
symmetry	P4/mmm, No. 123

***

The computed energies, referenced to the most stable structure and given in meV per atom, are A 0; B 1010.

***

## A
DFT (PBE) results for BaBeTeI2 after structural relaxation.

Cell: 5.473 5.473 5.387 Å, 90.00 90.00 90.00°
Fractional positions:
1 Ba 0.000 0.000 0.000
2 Be 0.500 0.500 0.500
3 Te 0.500 0.500 0.000
4 I 0.000 0.500 0.500
5 I 0.500 0.000 0.500

V	161.3	Å³/f.u.
symmetry	P4/mmm, No. 123

***

## B
DFT (PBE) results for BaBeTeI2 after structural relaxation.

Cell: 6.726 6.726 7.106 Å, 90.00 90.00 90.00°
Fractional positions:
1 Ba 0.000 0.000 0.000
2 Be 0.500 0.500 0.500
3 Te 0.000 0.000 0.500
4 I 0.000 0.500 0.000
5 I 0.500 0.000 0.000

V	321.5	Å³/f.u.
symmetry	P4/mmm, No. 123

***

The computed energies, referenced to the most stable structure and given in meV per atom, are A 0; B 904.

***

## A
DFT (PBE) results for BaBeIn after structural relaxation.

Cell: 7.630 7.630 7.630 Å, 90.00 90.00 90.00°
Fractional positions:
1 Ba 0.000 0.000 0.000
2 Ba 0.000 0.500 0.500
3 Ba 0.500 0.000 0.500
4 Ba 0.500 0.500 0.000
5 Be 0.250 0.250 0.250
6 Be 0.250 0.750 0.750
7 Be 0.750 0.250 0.750
8 Be 0.750 0.750 0.250
9 In 0.250 0.250 0.750
10 In 0.250 0.750 0.250
11 In 0.750 0.250 0.250
12 In 0.750 0.750 0.750

V	111.1	Å³/f.u.
symmetry	F-43m, No. 216

***

## B
DFT (PBE) results for BaBeIn after structural relaxation.

Cell: 5.033 5.042 12.698 Å, 90.00 90.00 90.00°
Fractional positions:
1 Ba 0.000 0.000 0.000
2 Ba 0.000 0.500 0.500
3 Ba 0.500 0.000 0.500
4 Ba 0.500 0.500 0.000
5 Be 0.000 0.000 0.314
6 Be 0.000 0.500 0.814
7 Be 0.500 0.000 0.814
8 Be 0.500 0.500 0.314
9 In 0.000 0.000 0.716
10 In 0.000 0.500 0.216
11 In 0.500 0.000 0.216
12 In 0.500 0.500 0.716

V	80.6	Å³/f.u.
symmetry	Fmm2, No. 42

***

## C
DFT (PBE) results for BaBeIn after structural relaxation.

Cell: 7.393 7.393 7.393 Å, 90.00 90.00 90.00°
Fractional positions:
1 Ba 0.000 0.000 0.000
2 Ba 0.000 0.500 0.500
3 Ba 0.500 0.000 0.500
4 Ba 0.500 0.500 0.000
5 Be 0.000 0.000 0.500
6 Be 0.000 0.500 0.000
7 Be 0.500 0.000 0.000
8 Be 0.500 0.500 0.500
9 In 0.250 0.250 0.750
10 In 0.250 0.750 0.250
11 In 0.750 0.250 0.250
12 In 0.750 0.750 0.750

V	101.0	Å³/f.u.
symmetry	F-43m, No. 216

***

## D
DFT (PBE) results for BaBeIn after structural relaxation.

Cell: 4.410 4.410 5.318 Å, 90.00 90.00 120.00°
Fractional positions:
1 Ba 0.000 0.000 0.000
2 Be 0.667 0.333 0.500
3 In 0.333 0.667 0.500

V	89.6	Å³/f.u.
symmetry	P-6m2, No. 187

***

The computed energies, referenced to the most stable structure and given in meV per atom, are A 785; B 217; C 477; D 0.

***

## A
DFT (PBE) results for BaBeIn3 after structural relaxation.

Cell: 6.601 6.601 6.601 Å, 90.00 90.00 90.00°
Fractional positions:
1 Ba 0.000 0.000 0.000
2 Be 0.500 0.500 0.500
3 In 0.000 0.000 0.500
4 In 0.000 0.500 0.000
5 In 0.500 0.000 0.000

V	287.7	Å³/f.u.
symmetry	Pm-3m, No. 221

***

## B
DFT (PBE) results for BaBeIn3 after structural relaxation.

Cell: 5.172 5.172 5.172 Å, 90.00 90.00 90.00°
Fractional positions:
1 Ba 0.000 0.000 0.000
2 Be 0.500 0.500 0.500
3 In 0.000 0.500 0.500
4 In 0.500 0.000 0.500
5 In 0.500 0.500 0.000

V	138.3	Å³/f.u.
symmetry	Pm-3m, No. 221

***

The computed energies, referenced to the most stable structure and given in meV per atom, are A 1387; B 0.